# RbPdF3

An optimized crystal structure of RbPdF3 (GGA-PBEsol, Alexandria).

The formation energy (no corrections) comes out at -898 kJ/mol of formula units. For the density, the calculation gives 5.39 g/cm³.

The structure belongs to space group Pm-3m (No. 221); the cell edges are 4.248, 4.248 and 4.248 Å and the angles 90.00°, 90.00° and 90.00°. The distinct sites, in fractional coordinates, are Rb at (0.000, 0.000, 0.000), Pd at (0.500, 0.500, 0.500) and F at (0.000, 0.500, 0.500).

=====

# BeTe2As

An optimized crystal structure of BeTe2As (GGA-PBEsol, Alexandria).

The formation energy (no corrections) comes out at 16 kJ/mol of formula units. For the distance to the lowest polymorph of the same formula, the calculation gives 0 meV per atom. For the density, the calculation gives 6.08 g/cm³.

The structure belongs to space group P4mm (No. 99); the cell edges are 3.250, 3.250 and 8.762 Å and the angles 90.00°, 90.00° and 90.00°. The distinct sites, in fractional coordinates, are Be at (0.000, 0.000, 0.000), Te at (0.000, 0.000, 0.727), Te at (0.500, 0.500, 0.358) and As at (0.500, 0.500, 0.062).

=====

# YBeFe2

An optimized crystal structure of YBeFe2 (GGA-PBEsol, Alexandria).

The calculation puts the energy of formation at -1.1 kcal/mol of atoms. For the density, the calculation gives 5.76 g/cm³.

The structure belongs to space group R-3m (No. 166, hexagonal axes); the cell edges are 3.8279, 3.8279 and 14.2912 Å and the angles 90.00°, 90.00° and 120.00°. The distinct sites, in fractional coordinates, are Y at (0.0000, 0.0000, 0.0000), Be at (0.0000, 0.0000, 0.5000) and Fe at (0.0000, 0.0000, 0.1836).

=====

# CaGaFe3

An optimized crystal structure of CaGaFe3 (GGA-PBEsol, Alexandria).

The calculation puts the energy of formation at 18.0 kcal/mol of atoms. For the density, the calculation gives 5.09 g/cm³.

The structure belongs to space group Pm-3m (No. 221); the cell edges are 4.488, 4.488 and 4.488 Å and the angles 90.00°, 90.00° and 90.00°. The distinct sites, in fractional coordinates, are Ca at (0.000, 0.000, 0.000), Ga at (0.500, 0.500, 0.500) and Fe at (0.000, 0.500, 0.500).

=====

# As2BrCl

An optimized crystal structure of As2BrCl (GGA-PBEsol, Alexandria).

The formation energy (no corrections) comes out at 104 kJ/mol of formula units. For the distance to the lowest polymorph of the same formula, the calculation gives 554 meV per atom. For the density, the calculation gives 5.42 g/cm³.

The structure belongs to space group Pmmm (No. 47); the cell edges are 3.220, 4.487 and 5.618 Å and the angles 90.00°, 90.00° and 90.00°. The distinct sites, in fractional coordinates, are As at (0.000, 0.000, 0.000), As at (0.500, 0.000, 0.500), Br at (0.000, 0.500, 0.500) and Cl at (0.500, 0.500, 0.000).

=====

# CaGaTeCl2

An optimized crystal structure of CaGaTeCl2 (GGA-PBEsol, Alexandria).

The formation energy (no corrections) comes out at -348 kJ/mol of formula units. For the density, the calculation gives 1.99 g/cm³.

The structure belongs to space group P4/mmm (No. 123); the cell edges are 4.638, 4.638 and 11.964 Å and the angles 90.00°, 90.00° and 90.00°. The distinct sites, in fractional coordinates, are Ca at (0.000, 0.000, 0.000), Ga at (0.000, 0.000, 0.500), Te at (0.500, 0.500, 0.000) and Cl at (0.000, 0.500, 0.500).

=====

# Sc2TlIr

An optimized crystal structure of Sc2TlIr (GGA-PBEsol, Alexandria).

The calculation puts the energy of formation at -5.6 kcal/mol of atoms. For the density, the calculation gives 9.99 g/cm³.

The structure belongs to space group P4mm (No. 99); the cell edges are 3.225, 3.225 and 7.774 Å and the angles 90.00°, 90.00° and 90.00°. The distinct sites, in fractional coordinates, are Sc at (0.000, 0.000, 0.000), Sc at (0.500, 0.500, 0.323), Tl at (0.000, 0.000, 0.582) and Ir at (0.500, 0.500, 0.819).

=====

# LiTcPt

An optimized crystal structure of LiTcPt (GGA-PBEsol, Alexandria).

The calculation puts the energy of formation at 0.0 kcal/mol of atoms. For the distance to the lowest polymorph of the same formula, the calculation gives 0 meV per atom. For the density, the calculation gives 12.52 g/cm³.

The structure belongs to space group P3m1 (No. 156); the cell edges are 4.1901, 4.1901 and 2.6168 Å and the angles 90.00°, 90.00° and 120.00°. The distinct sites, in fractional coordinates, are Li at (0.0000, 0.0000, 0.0000), Tc at (0.3333, 0.6667, 0.6139) and Pt at (0.6667, 0.3333, 0.1728).

=====

Number 1: calculated volume 15.34 A^3/atom. Number 2: calculated volume 23.14 A^3/atom. Number 3: calculated volume 15.11 A^3/atom. Number 4: calculated volume 18.08 A^3/atom. Number 5: calculated volume 20.29 A^3/atom. Number 6: calculated volume 51.46 A^3/atom. Number 7: calculated volume 20.21 A^3/atom. Number 8: calculated volume 13.26 A^3/atom.